Below is TiSCl after structural relaxation, with properties calculated at the PBE-GGA level.

The structure in POSCAR format:
```
TiSCl
1.0
3.432 0.000 0.000
0.000 5.753 0.000
-0.100 0.000 6.892
Ti S Cl
2 2 2
direct
0.000 0.000 0.000
0.000 0.500 0.000
0.496 0.250 0.847
0.504 0.750 0.153
0.008 0.250 0.281
0.992 0.750 0.719
```

Results
The calculation puts the calculated total energy at -18.27 eV per formula unit. The calculation puts the density of states at the Fermi level at 2.695 states/eV per cell. The volume is 136.1 Å³/cell. As for the space group: No. 11.

***

Below is TiSCl after structural relaxation, with properties calculated at the PBE-GGA level.

The structure in POSCAR format:
```
TiSCl
1.0
3.471 0.000 0.000
-1.736 3.006 0.000
0.000 0.000 6.580
Ti S Cl
1 1 1
direct
0.000 0.000 0.000
0.333 0.667 0.801
0.667 0.333 0.241
```

Results
The calculation puts the calculated total energy at -18.12 eV per formula unit. The calculation puts the density of states at the Fermi level at 1.617 states/eV per cell. The volume is 68.7 Å³/cell. As for the space group: No. 156.

***

Below is TiS2Cl after structural relaxation, with properties calculated at the PBE-GGA level.

The structure in POSCAR format:
```
TiS2Cl
1.0
0.000 3.198 3.198
3.198 0.000 3.198
3.198 3.198 0.000
Ti S Cl
1 2 1
direct
0.000 0.000 0.000
0.250 0.250 0.250
0.750 0.750 0.750
0.500 0.500 0.500
```

Results
The calculation puts the calculated total energy at -18.28 eV per formula unit. The distance to the lowest polymorph of the same formula is 3.12 eV per formula unit. The calculation puts the density of states at the Fermi level at 1.381 states/eV per cell. The volume is 65.4 Å³/cell. As for the space group: No. 225.

***

Below is TiS2Cl after structural relaxation, with properties calculated at the PBE-GGA level.

The structure in POSCAR format:
```
TiS2Cl
1.0
-3.177 3.177 5.185
3.177 -3.177 5.185
3.177 3.177 -5.185
Ti S Cl
2 4 2
direct
0.000 0.000 0.000
0.750 0.250 0.500
0.032 0.625 0.907
0.375 0.282 0.407
0.718 0.125 0.093
0.875 0.968 0.593
0.250 0.750 0.500
0.500 0.500 0.000
```

Results
The calculation puts the calculated total energy at -20.05 eV per formula unit. The distance to the lowest polymorph of the same formula is 1.35 eV per formula unit. The calculation puts the density of states at the Fermi level at 10.613 states/eV per cell. The volume is 209.3 Å³/cell. As for the space group: No. 122.

***

Below is Ti3SCl after structural relaxation, with properties calculated at the PBE-GGA level.

The structure in POSCAR format:
```
Ti3SCl
1.0
4.586 0.000 0.000
0.000 4.586 0.000
0.000 0.000 4.586
Ti S Cl
3 1 1
direct
0.000 0.000 0.500
0.000 0.500 0.000
0.500 0.000 0.000
0.000 0.000 0.000
0.500 0.500 0.500
```

Results
The calculation puts the calculated total energy at -29.95 eV per formula unit. The distance to the lowest polymorph of the same formula is 0.00 eV per formula unit. The calculation puts the density of states at the Fermi level at 6.229 states/eV per cell. The volume is 96.4 Å³/cell. As for the space group: No. 221.

***

Below is TiS2Cl after structural relaxation, with properties calculated at the PBE-GGA level.

The structure in POSCAR format:
```
TiS2Cl
1.0
1.744 1.007 7.526
-1.744 1.007 7.526
0.000 -2.014 7.526
Ti S Cl
1 2 1
direct
0.000 0.000 0.000
0.394 0.394 0.394
0.606 0.606 0.606
0.500 0.500 0.500
```

Results
The calculation puts the calculated total energy at -21.40 eV per formula unit. The distance to the lowest polymorph of the same formula is 0.00 eV per formula unit. The calculation puts the density of states at the Fermi level at 2.147 states/eV per cell. The volume is 79.3 Å³/cell. As for the space group: No. 166.

***

Below is TiS2Cl8 after structural relaxation, with properties calculated at the PBE-GGA level.

The structure in POSCAR format:
```
TiS2Cl8
1.0
4.392 -5.468 0.000
4.392 5.468 0.000
-3.689 0.000 7.887
Ti S Cl
1 2 8
direct
0.000 0.000 0.000
0.077 0.077 0.438
0.923 0.923 0.562
0.071 0.766 0.143
0.234 0.929 0.857
0.268 0.268 0.224
0.294 0.294 0.648
0.706 0.706 0.352
0.732 0.732 0.776
0.766 0.071 0.143
0.929 0.234 0.857
```

Results
The calculation puts the calculated total energy at -38.30 eV per formula unit. The volume is 378.8 Å³/cell. As for the space group: No. 12.

***

Below is Ti2SCl after structural relaxation, with properties calculated at the PBE-GGA level.

The structure in POSCAR format:
```
Ti2SCl
1.0
-2.845 2.845 5.185
2.845 -2.845 5.185
2.845 2.845 -5.185
Ti S Cl
4 2 2
direct
0.115 0.625 0.990
0.375 0.365 0.490
0.635 0.125 0.010
0.875 0.885 0.510
0.000 0.000 0.000
0.750 0.250 0.500
0.250 0.750 0.500
0.500 0.500 0.000
```

Results
The calculation puts the calculated total energy at -24.17 eV per formula unit. The distance to the lowest polymorph of the same formula is 0.51 eV per formula unit. The calculation puts the density of states at the Fermi level at 9.308 states/eV per cell. The volume is 167.8 Å³/cell. As for the space group: No. 122.

***

What did we get for formation energy (no corrections)? Answer: -1467.5, -1416.1, -70.8, -514.3, -57.9, -851.8, -670.9, -600.6 meV/atom, in the order shown.
What did we get for M_tot? Answer: 0.0, 1.0, 0.0, 0.0, 2.2, 0.0, 0.0, 2.7 μB/f.u., in the order shown.